TaAsPO2: optimized geometry, GGA-PBEsol.

DOS(E_F) = 0.854 states/eV per atom
Space-group type = P4/mmm, No. 123

Cell: 3.752 3.752 4.784 Å, 90.00 90.00 90.00°
Fractional positions:
O 0.000 0.500 0.000
O 0.500 0.000 0.000
As 0.000 0.000 0.000
P 0.000 0.000 0.500
Ta 0.500 0.500 0.500

=====

AsPWO2: optimized geometry, GGA-PBEsol.

DOS(E_F) = 0.852 states/eV per atom
Space-group type = P4/mmm, No. 123

Cell: 3.647 3.647 5.142 Å, 90.00 90.00 90.00°
Fractional positions:
P 0.000 0.000 0.500
As 0.000 0.000 0.000
W 0.500 0.500 0.500
O 0.500 0.000 0.000
O 0.000 0.500 0.000

=====

ZrAsP2O: optimized geometry, GGA-PBEsol.

DOS(E_F) = 0.726 states/eV per atom
Space-group type = P4/mmm, No. 123

Cell: 3.888 5.115 5.115 Å, 90.00 90.00 90.00°
Fractional positions:
P 0.000 0.500 0.000
P 0.000 0.000 0.500
O 0.500 0.000 0.000
As 0.500 0.500 0.500
Zr 0.000 0.000 0.000

=====

As2Pb3O8: optimized geometry, GGA-PBEsol.

DOS(E_F) = 0.000 states/eV per atom
Space-group type = P2_1/c, No. 14

Cell: 6.245 7.453 9.246 Å, 112.77 90.00 90.00°
Fractional positions:
Pb 0.000 0.000 0.000
Pb 0.910 0.408 0.790
Pb 0.090 0.592 0.210
Pb 0.590 0.908 0.290
Pb 0.410 0.092 0.710
Pb 0.500 0.500 0.500
O 0.971 0.957 0.282
O 0.704 0.767 0.023
O 0.538 0.187 0.225
O 0.760 0.762 0.480
O 0.796 0.267 0.523
O 0.529 0.457 0.782
O 0.260 0.738 0.020
O 0.462 0.813 0.775
O 0.962 0.687 0.725
O 0.471 0.543 0.218
O 0.038 0.313 0.275
O 0.740 0.262 0.980
O 0.296 0.233 0.977
O 0.204 0.733 0.477
O 0.240 0.238 0.520
O 0.029 0.043 0.718
As 0.981 0.802 0.598
As 0.481 0.698 0.902
As 0.519 0.302 0.098
As 0.019 0.198 0.402

=====

Size of the total moment values (in μB/f.u.) by entry order: 1.26, 2.76, 0.00, 0.00.
Energy relative to the elements, uncorrected values (in eV per formula unit) by entry order: 0.02, 1.93, -1.28, -16.74.